Entry 1:
DFT (PBEsol) results for crystalline TcHCF2 at its relaxed geometry.

Results
DOS at the Fermi energy, states/eV/f.u.: 1.75
Energy, eV/atom: -5.423
Space-group type: P4/mmm

abc: 2.982 2.982 4.882
angles: 90.00 90.00 90.00
Atoms (fractional coordinates):
Tc: 0.000 0.000 0.000
H: 0.500 0.500 0.500
C: 0.500 0.500 0.000
F: 0.000 0.500 0.500
F: 0.500 0.000 0.500

Entry 2:
DFT (PBEsol) results for crystalline HfMoC2F at its relaxed geometry.

Results
E_form (uncorrected), eV/atom: 0.772
DOS at the Fermi energy, states/eV/f.u.: 3.10
Space-group type: P4/mmm

abc: 4.234 4.234 3.866
angles: 90.00 90.00 90.00
Atoms (fractional coordinates):
Hf: 0.000 0.000 0.000
Mo: 0.500 0.500 0.500
C: 0.000 0.500 0.000
C: 0.500 0.000 0.000
F: 0.000 0.000 0.500

Entry 3:
DFT (PBEsol) results for crystalline HfCN2F at its relaxed geometry.

Results
E_form (uncorrected), eV/atom: 0.283
DOS at the Fermi energy, states/eV/f.u.: 0.47
Space-group type: P4/mmm

abc: 3.532 3.532 3.368
angles: 90.00 90.00 90.00
Atoms (fractional coordinates):
Hf: 0.000 0.000 0.000
C: 0.500 0.500 0.500
N: 0.000 0.500 0.500
N: 0.500 0.000 0.500
F: 0.500 0.500 0.000

Entry 4:
DFT (PBEsol) results for crystalline HfWCF2 at its relaxed geometry.

Results
E_form (uncorrected), eV/atom: -0.188
DOS at the Fermi energy, states/eV/f.u.: 2.10
Space-group type: P4/mmm

abc: 3.749 3.749 5.637
angles: 90.00 90.00 90.00
Atoms (fractional coordinates):
Hf: 0.000 0.000 0.000
W: 0.000 0.000 0.500
C: 0.500 0.500 0.500
F: 0.000 0.500 0.000
F: 0.500 0.000 0.000

Entry 5:
DFT (PBEsol) results for crystalline Hf2WCF at its relaxed geometry.

Results
E_form (uncorrected), eV/atom: 0.599
DOS at the Fermi energy, states/eV/f.u.: 4.36
Space-group type: P4/mmm

abc: 4.399 4.399 3.739
angles: 90.00 90.00 90.00
Atoms (fractional coordinates):
Hf: 0.000 0.500 0.000
Hf: 0.500 0.000 0.000
W: 0.000 0.000 0.500
C: 0.500 0.500 0.500
F: 0.500 0.500 0.000

Entry 6:
DFT (PBEsol) results for crystalline HgCF2 at its relaxed geometry.

Results
E_form (uncorrected), eV/atom: 0.490
DOS at the Fermi energy, states/eV/f.u.: 0.78
Space-group type: R-3m

abc: 7.859 7.859 7.859
angles: 21.52 21.52 21.52
Atoms (fractional coordinates):
Hg: 0.000 0.000 0.000
C: 0.500 0.500 0.500
F: 0.122 0.122 0.122
F: 0.878 0.878 0.878